The following is a DFT calculation (GGA-PBE) of crystalline AcMgIn4 at its relaxed geometry.

Output
- Final energy: -2.918 eV/atom
- DFT formation energy: -13.7 kJ per mole of atoms

abc: 6.234 6.234 6.234
angles: 60.00 60.00 60.00
Fractional positions:
In 0.125 0.625 0.625
In 0.625 0.125 0.625
In 0.625 0.625 0.625
In 0.625 0.625 0.125
Mg 0.000 0.000 0.000
Ac 0.250 0.250 0.250